A plane-wave DFT calculation with PBE-GGA was carried out for crystalline HfUAs2 at its relaxed geometry.

CIF file:
```
data_HfUAs2
_chemical_formula_sum 'Hf3 U3 As6'
_symmetry_space_group_name_H-M 'R -3 m'
_symmetry_Int_Tables_number 166
_symmetry_space_group_name_Hall '-R 3 2"'
_cell_length_a 3.9220
_cell_length_b 3.9220
_cell_length_c 19.6191
_cell_angle_alpha 90.00
_cell_angle_beta 90.00
_cell_angle_gamma 120.00
loop_
_atom_site_label
_atom_site_type_symbol
_atom_site_fract_x
_atom_site_fract_y
_atom_site_fract_z
_atom_site_occupancy
Hf1 Hf 0.0000 0.0000 0.0000 1
U1 U 0.0000 0.0000 0.5000 1
As1 As 0.0000 0.0000 0.2558 1
```

Summary:
Fermi-level density of states   9.53 states/eV per cell
Electronic total energy   -102.4 eV per cell
Energy above the most stable polymorph in this dataset   0.0 kJ/mol of formula units
Magnetic moment   6.952 μB/cell
Crystal system   trigonal


A plane-wave DFT calculation with PBE-GGA was carried out for crystalline Zn2Ga2Rh3 at its relaxed geometry.

CIF file:
```
data_Zn2Ga2Rh3
_chemical_formula_sum 'Zn2 Ga2 Rh3'
_symmetry_space_group_name_H-M 'P -1'
_symmetry_Int_Tables_number 2
_symmetry_space_group_name_Hall '-P 1'
_cell_length_a 4.252
_cell_length_b 4.268
_cell_length_c 7.190
_cell_angle_alpha 89.62
_cell_angle_beta 72.86
_cell_angle_gamma 60.19
loop_
_atom_site_label
_atom_site_type_symbol
_atom_site_fract_x
_atom_site_fract_y
_atom_site_fract_z
_atom_site_occupancy
Zn1 Zn 0.243 0.377 0.138 1
Ga1 Ga 0.248 0.877 0.624 1
Rh1 Rh 0.000 0.000 0.000 1
Rh2 Rh 0.498 0.748 0.257 1
```

Summary:
Fermi-level density of states   2.40 states/eV per cell
Electronic total energy   -34.0 eV per cell
Magnetic moment   0.000 μB/cell
Crystal system   triclinic